20
Lattice="9.498 0.000 0.000 0.000 9.498 0.000 0.000 0.000 2.918" Properties=species:S:1:pos:R:3 comment="Nb2AlV2Fe5 | the Alexandria database | GGA-PBE | optimized geometry" final_energy_ev_per_atom=-8.379 crystal_system=tetragonal magmom_total_mub_per_fu=1.21 ef_ev_per_atom=0.064 pbc="T T T"
Nb 1.672 3.078 0.000
Nb 3.078 7.827 0.000
Nb 6.421 1.672 0.000
Nb 7.827 6.421 0.000
Al 0.000 0.000 0.000
Al 4.749 4.749 0.000
V 1.266 6.016 0.000
V 3.483 1.266 0.000
V 6.016 8.232 0.000
V 8.232 3.483 0.000
Fe 0.000 4.749 1.459
Fe 0.464 7.589 1.459
Fe 1.910 0.464 1.459
Fe 2.840 5.213 1.459
Fe 4.286 2.840 1.459
Fe 4.749 0.000 1.459
Fe 5.213 6.659 1.459
Fe 6.659 4.286 1.459
Fe 7.589 9.035 1.459
Fe 9.035 1.910 1.459